DFT (PBE) results for an optimized crystal structure of AlCdCo2Ru.

Lattice parameters (Å, degrees): 4.2427 4.7472 4.2427 90.00 90.00 90.00
Fractional coordinates of all 5 atoms:
1 Cd 0.0000 0.5000 0.0000
2 Al 0.0000 0.0000 0.0000
3 Ru 0.5000 0.5000 0.5000
4 Co 0.0000 0.0000 0.5000
5 Co 0.5000 0.0000 0.0000

Computed properties:
- Energy relative to the elements: 6.3 eV per formula unit
- Space group: P4/mmm
- N(E_F): 1.31 states/eV/atom
- Theoretical density: 6.963 g/cm3